9
Lattice="5.024 0.000 0.000 2.171 4.865 0.000 0.400 -0.022 6.346" Properties=species:S:1:pos:R:3 comment="GGA+U VInBF6, relaxed" e_tot_ev_per_cell=-50.3 pbc="T T T"
V 0.000 0.000 0.000
In 5.283 3.436 3.751
B 2.955 1.773 0.729
F 1.640 1.272 0.770
F 3.447 4.566 4.549
F 2.972 3.139 1.101
F 3.932 1.598 5.777
F 3.781 1.018 1.617
F 6.014 3.679 5.904